4
Lattice="5.2344 0.0000 0.0000 2.6172 4.5331 0.0000 2.6172 1.5110 4.2738" Properties=species:S:1:pos:R:3 comment="PBE Lu2TlCd, relaxed" e_form_ev_per_atom=-0.278 e_tot_ev_per_atom=-3.36 pbc="T T T"
Tl 0.0000 0.0000 0.0000
Lu 2.6172 1.5110 1.0685
Lu 7.8515 4.5331 3.2054
Cd 5.2344 3.0221 2.1369

=====

3
Lattice="4.8920 0.0000 0.0000 2.4460 4.2366 0.0000 2.4460 1.4122 3.9943" Properties=species:S:1:pos:R:3 comment="PBE LuTlCd, relaxed" e_form_ev_per_atom=-0.097 e_tot_ev_per_atom=-2.70 pbc="T T T"
Tl 2.4460 1.4122 0.9986
Lu 0.0000 0.0000 0.0000
Cd 4.8920 2.8244 1.9971

=====

3
Lattice="-0.5731 -3.1470 1.4910 4.5511 -1.4469 -1.3047 -0.7386 2.2051 4.3704" Properties=species:S:1:pos:R:3 comment="PBE LuTlCd, relaxed" e_form_ev_per_atom=-0.180 e_tot_ev_per_atom=-2.78 pbc="T T T"
Tl 0.8836 0.2134 2.8456
Lu 2.4113 -2.2975 1.5667
Cd -0.0555 -0.3048 0.1444